# YZn2FeH | Alexandria | PBEsol | optimized geometry
data_YZn2FeH
_chemical_formula_sum 'Y1 Zn2 Fe1 H1'
_symmetry_space_group_name_H-M 'P 4/m m m'
_symmetry_Int_Tables_number 123
_symmetry_space_group_name_Hall '-P 4 2'
_cell_length_a 5.628
_cell_length_b 5.628
_cell_length_c 4.829
_cell_angle_alpha 90.00
_cell_angle_beta 90.00
_cell_angle_gamma 90.00
loop_
_atom_site_label
_atom_site_type_symbol
_atom_site_fract_x
_atom_site_fract_y
_atom_site_fract_z
_atom_site_occupancy
Y1 Y 0.000 0.000 0.000 1
Zn1 Zn 0.000 0.500 0.000 1
Fe1 Fe 0.000 0.000 0.500 1
H1 H 0.500 0.500 0.500 1
# Total energy ... -13.586 eV per formula unit

# Li3ZnBr | Alexandria | PBEsol | optimized geometry
data_Li3ZnBr
_chemical_formula_sum 'Li3 Zn1 Br1'
_symmetry_space_group_name_H-M 'P m -3 m'
_symmetry_Int_Tables_number 221
_symmetry_space_group_name_Hall '-P 4 2 3'
_cell_length_a 4.813
_cell_length_b 4.813
_cell_length_c 4.813
_cell_angle_alpha 90.00
_cell_angle_beta 90.00
_cell_angle_gamma 90.00
loop_
_atom_site_label
_atom_site_type_symbol
_atom_site_fract_x
_atom_site_fract_y
_atom_site_fract_z
_atom_site_occupancy
Li1 Li 0.000 0.000 0.500 1
Zn1 Zn 0.500 0.500 0.500 1
Br1 Br 0.000 0.000 0.000 1
# Raw formation energy ... -0.307 eV/atom
# Total energy ... -10.887 eV per formula unit

# SrLa3Ir | Alexandria | PBEsol | optimized geometry
data_SrLa3Ir
_chemical_formula_sum 'Sr1 La3 Ir1'
_symmetry_space_group_name_H-M 'P m -3 m'
_symmetry_Int_Tables_number 221
_symmetry_space_group_name_Hall '-P 4 2 3'
_cell_length_a 5.698
_cell_length_b 5.698
_cell_length_c 5.698
_cell_angle_alpha 90.00
_cell_angle_beta 90.00
_cell_angle_gamma 90.00
loop_
_atom_site_label
_atom_site_type_symbol
_atom_site_fract_x
_atom_site_fract_y
_atom_site_fract_z
_atom_site_occupancy
Sr1 Sr 0.000 0.000 0.000 1
La1 La 0.000 0.500 0.500 1
Ir1 Ir 0.500 0.500 0.500 1
# Polymorph energy (0 for the lowest one) ... 6 meV per atom
# ΔE_f ... -1.24 eV per formula unit
# Total energy ... -28.946 eV per formula unit

# Y2IrBr | Alexandria | PBEsol | optimized geometry
data_Y2IrBr
_chemical_formula_sum 'Y6 Ir3 Br3'
_symmetry_space_group_name_H-M 'R -3 m'
_symmetry_Int_Tables_number 166
_symmetry_space_group_name_Hall '-R 3 2"'
_cell_length_a 3.9770
_cell_length_b 3.9770
_cell_length_c 22.2232
_cell_angle_alpha 90.00
_cell_angle_beta 90.00
_cell_angle_gamma 120.00
loop_
_atom_site_label
_atom_site_type_symbol
_atom_site_fract_x
_atom_site_fract_y
_atom_site_fract_z
_atom_site_occupancy
Y1 Y 0.0000 0.0000 0.2318 1
Ir1 Ir 0.0000 0.0000 0.5000 1
Br1 Br 0.0000 0.0000 0.0000 1
# Raw formation energy ... -1.080 eV/atom
# Polymorph energy (0 for the lowest one) ... 0 meV per atom
# Total energy ... -29.659 eV per formula unit

> Among the records above, which one has the highest total energy?

Li3ZnBr

Copy entry 2 word for word.
# Li3ZnBr | Alexandria | PBEsol | optimized geometry
data_Li3ZnBr
_chemical_formula_sum 'Li3 Zn1 Br1'
_symmetry_space_group_name_H-M 'P m -3 m'
_symmetry_Int_Tables_number 221
_symmetry_space_group_name_Hall '-P 4 2 3'
_cell_length_a 4.813
_cell_length_b 4.813
_cell_length_c 4.813
_cell_angle_alpha 90.00
_cell_angle_beta 90.00
_cell_angle_gamma 90.00
loop_
_atom_site_label
_atom_site_type_symbol
_atom_site_fract_x
_atom_site_fract_y
_atom_site_fract_z
_atom_site_occupancy
Li1 Li 0.000 0.000 0.500 1
Zn1 Zn 0.500 0.500 0.500 1
Br1 Br 0.000 0.000 0.000 1
# Raw formation energy ... -0.307 eV/atom
# Total energy ... -10.887 eV per formula unit

> What is the total energy in the second record?

-10.887 eV per formula unit